[1]
A plane-wave DFT calculation with PBE was carried out for an optimized crystal structure of NdY6Er3.

Cell: 6.4023 11.5287 11.5287 Å, 130.44 90.00 90.00°
Element x y z (fractional)
Er1 0.4861 0.2958 0.0432
Er2 0.9861 0.7042 0.9568
Y1 0.0722 0.7383 0.6213
Nd1 0.0115 0.1622 0.8378
Y2 0.0722 0.3787 0.2617
Y3 0.8293 0.8948 0.4579
Y4 0.8134 0.0153 0.9847
Er3 0.4861 0.9568 0.7042
Y5 0.2876 0.6987 0.3013
Nd2 0.5115 0.8378 0.1622
Y6 0.3134 0.9847 0.0153
Er4 0.9861 0.0432 0.2958
Y7 0.8293 0.5421 0.1052
Y8 0.3293 0.1052 0.5421
Er5 0.0977 0.4177 0.5823
Y9 0.5722 0.6213 0.7383
Y10 0.3293 0.4579 0.8948
Y11 0.7876 0.3013 0.6987
Y12 0.5722 0.2617 0.3787
Er6 0.5977 0.5823 0.4177

Output
**Excess energy over the best structure of this formula in the dataset**: 0.000 kcal/mol of atoms

---

[2]
A plane-wave DFT calculation with PBE was carried out for an optimized crystal structure of Nd3Y2Er3.

Cell: 5.0567 5.0862 10.7862 Å, 103.64 103.56 90.00°
Element x y z (fractional)
Y1 0.7508 0.2508 0.5015
Er1 0.6255 0.6255 0.2511
Nd1 0.1239 0.1239 0.2479
Y2 0.2492 0.7492 0.4985
Nd2 0.0000 0.5000 0.0000
Nd3 0.8761 0.8761 0.7521
Er2 0.5000 0.0000 0.0000
Er3 0.3745 0.3745 0.7489

Output
**Excess energy over the best structure of this formula in the dataset**: 0.000 kcal/mol of atoms

---

[3]
A plane-wave DFT calculation with PBE was carried out for an optimized crystal structure of Nd4Y4Er3.

Cell: 3.5442 5.6518 18.3010 Å, 81.14 84.44 90.00°
Element x y z (fractional)
Er1 0.8628 0.3629 0.2737
Nd1 0.5460 0.5468 0.9082
Er2 0.1372 0.6371 0.7263
Y1 0.7327 0.7329 0.5345
Y2 0.4090 0.9085 0.1812
Nd2 0.4541 0.4532 0.0917
Nd3 0.6800 0.1798 0.6409
Er3 0.0000 0.0000 0.0000
Y3 0.2674 0.2672 0.4655
Nd4 0.3201 0.8202 0.3591
Y4 0.5910 0.0915 0.8188

Output
**Excess energy over the best structure of this formula in the dataset**: 0.000 kcal/mol of atoms

---

[4]
A plane-wave DFT calculation with PBE was carried out for an optimized crystal structure of Nd3Y5Er4.

Cell: 7.1538 11.3127 12.8909 Å, 151.29 56.38 129.27°
Element x y z (fractional)
Y1 0.6659 0.3327 0.1667
Er1 0.8351 0.6692 0.8344
Er2 0.0815 0.1654 0.3319
Er3 0.9185 0.8346 0.6681
Y2 0.2515 0.4985 0.9987
Nd1 0.4139 0.8315 0.6656
Nd2 0.0000 0.0000 0.5000
Y3 0.5000 0.0000 0.5000
Y4 0.3341 0.6673 0.8333
Y5 0.7485 0.5015 0.0013
Er4 0.1649 0.3308 0.1656
Nd3 0.5861 0.1685 0.3344

Output
**Excess energy over the best structure of this formula in the dataset**: 0.000 kcal/mol of atoms

---

[5]
A plane-wave DFT calculation with PBE was carried out for an optimized crystal structure of NdY2Er2.

Cell: 9.4047 9.4047 3.7221 Å, 90.00 90.00 90.00°
Element x y z (fractional)
Y1 0.6727 0.1727 0.5000
Er1 0.6240 0.8760 0.0000
Nd1 0.0000 0.0000 0.0000
Er2 0.3760 0.1240 0.0000
Er3 0.1240 0.6240 0.0000
Nd2 0.5000 0.5000 0.0000
Y2 0.8273 0.6727 0.5000
Er4 0.8760 0.3760 0.0000
Y3 0.1727 0.3273 0.5000
Y4 0.3273 0.8273 0.5000

Output
**Excess energy over the best structure of this formula in the dataset**: 0.000 kcal/mol of atoms

---

[6]
A plane-wave DFT calculation with PBE was carried out for an optimized crystal structure of Nd6Y2Er.

Cell: 3.6840 10.0506 10.0506 Å, 56.02 90.00 90.00°
Element x y z (fractional)
Nd1 0.0000 0.5099 0.1600
Y1 0.5000 0.8244 0.8244
Y2 0.5000 0.1756 0.1756
Nd2 0.0000 0.1600 0.5099
Nd3 0.5000 0.3144 0.6856
Er1 0.0000 0.0000 0.0000
Nd4 0.5000 0.6856 0.3144
Nd5 0.0000 0.8400 0.4901
Nd6 0.0000 0.4901 0.8400

Output
**Excess energy over the best structure of this formula in the dataset**: 0.000 kcal/mol of atoms

---

[7]
A plane-wave DFT calculation with PBE was carried out for an optimized crystal structure of Nd5Y2Er4.

Cell: 3.5306 9.0851 12.8180 Å, 110.76 97.92 90.00°
Element x y z (fractional)
Y1 0.2692 0.2692 0.5385
Er1 0.0000 0.3155 0.0000
Nd1 0.8559 0.0546 0.7119
Nd2 0.1441 0.3427 0.2881
Er2 0.5965 0.5965 0.1930
Nd3 0.5000 0.0000 0.0000
Y2 0.7308 0.7308 0.4615
Nd4 0.1441 0.9454 0.2881
Nd5 0.8559 0.6573 0.7119
Er3 0.0000 0.6845 0.0000
Er4 0.4035 0.4035 0.8070

Output
**Excess energy over the best structure of this formula in the dataset**: 1.061 kcal/mol of atoms

---

[8]
A plane-wave DFT calculation with PBE was carried out for an optimized crystal structure of NdYEr.

Cell: 3.5894 3.5894 8.0227 Å, 102.93 102.93 90.00°
Element x y z (fractional)
Nd1 0.3321 0.3321 0.6642
Y1 0.0021 0.0021 0.0041
Er1 0.6658 0.6658 0.3316

Output
**Excess energy over the best structure of this formula in the dataset**: 0.640 kcal/mol of atoms

---

[9]
A plane-wave DFT calculation with PBE was carried out for an optimized crystal structure of Nd4Y5Er2.

Cell: 3.5213 8.9896 12.1045 Å, 98.74 98.36 90.00°
Element x y z (fractional)
Y1 0.5000 0.0000 0.0000
Y2 0.7679 0.6764 0.5358
Y3 0.2321 0.3236 0.4642
Nd1 0.9736 0.3126 0.9472
Y4 0.8245 0.0976 0.6489
Er1 0.8988 0.7998 0.7976
Nd2 0.3700 0.4640 0.7399
Er2 0.1012 0.2002 0.2024
Y5 0.1755 0.9024 0.3511
Nd3 0.0264 0.6874 0.0528
Nd4 0.6300 0.5360 0.2601

Output
**Excess energy over the best structure of this formula in the dataset**: 2.658 kcal/mol of atoms

---

[10]
A plane-wave DFT calculation with PBE was carried out for an optimized crystal structure of NdY3Er6.

Cell: 9.8085 9.8085 6.8584 Å, 44.35 44.35 60.00°
Element x y z (fractional)
Er1 0.5698 0.2323 0.2940
Y1 0.6429 0.6429 0.0713
Er2 0.4046 0.7326 0.7924
Nd1 0.8988 0.8988 0.3037
Er3 0.7326 0.0704 0.7924
Er4 0.9039 0.5698 0.2940
Y2 0.1474 0.1474 0.5579
Er5 0.2323 0.9039 0.2940
Y3 0.3973 0.3973 0.8080
Er6 0.0704 0.4046 0.7924

Output
**Excess energy over the best structure of this formula in the dataset**: 3.651 kcal/mol of atoms

---

[11]
A plane-wave DFT calculation with PBE was carried out for an optimized crystal structure of NdY5Er4.

Cell: 6.3226 7.8732 7.8732 Å, 80.72 66.33 66.33°
Element x y z (fractional)
Er1 0.4012 0.4025 0.7002
Y1 0.1860 0.9095 0.6194
Er2 0.1014 0.2998 0.4025
Nd1 0.2222 0.0000 0.0000
Y2 0.0956 0.6194 0.0905
Er3 0.5040 0.5975 0.2998
Er4 0.8037 0.7002 0.5975
Y3 0.7150 0.0905 0.3806
Y4 0.6758 0.0000 0.0000
Y5 0.8055 0.3806 0.9095

---

[12]
A plane-wave DFT calculation with PBE was carried out for an optimized crystal structure of Nd2YEr4.

Cell: 3.5105 8.6671 8.8518 Å, 116.22 98.43 102.75°
Element x y z (fractional)
Nd1 0.9888 0.5861 0.8643
Er1 0.2163 0.1636 0.7161
Y1 0.0000 0.0000 0.0000
Er2 0.6347 0.2718 0.4211
Er3 0.7837 0.8364 0.2839
Nd2 0.0112 0.4139 0.1357
Er4 0.3653 0.7282 0.5789

Output
**Excess energy over the best structure of this formula in the dataset**: 0.000 kcal/mol of atoms

---

[13]
A plane-wave DFT calculation with PBE was carried out for an optimized crystal structure of Nd5Y3Er4.

Cell: 5.8294 5.6907 14.5193 Å, 84.41 78.42 59.19°
Element x y z (fractional)
Nd1 0.5000 0.5000 0.5000
Er1 0.0633 0.9969 0.8766
Nd2 0.1989 0.3498 0.2524
Er2 0.1802 0.9940 0.6456
Nd3 0.3307 0.3368 0.0018
Nd4 0.6693 0.6632 0.9982
Y1 0.0000 0.5000 0.5000
Nd5 0.8011 0.6502 0.7476
Er3 0.9367 0.0031 0.1234
Y2 0.4585 0.3335 0.7495
Er4 0.8198 0.0060 0.3544
Y3 0.5415 0.6665 0.2505

---

[14]
A plane-wave DFT calculation with PBE was carried out for an optimized crystal structure of Nd2YEr6.

Cell: 6.5583 9.5675 9.5675 Å, 96.29 80.53 80.53°
Element x y z (fractional)
Er1 0.4958 0.3490 0.7247
Er2 0.9958 0.7247 0.3490
Er3 0.7294 0.0596 0.4622
Nd1 0.1260 0.6186 0.6694
Er4 0.8146 0.9595 0.7762
Er5 0.5042 0.6510 0.2753
Er6 0.2706 0.9404 0.5378
Nd2 0.3740 0.3306 0.3814
Er7 0.3146 0.7762 0.9595
Er8 0.6854 0.2238 0.0405
Er9 0.7706 0.5378 0.9404
Y1 0.2500 0.1169 0.8831
Nd3 0.6260 0.6694 0.6186
Nd4 0.8740 0.3814 0.3306
Er10 0.2294 0.4622 0.0596
Er11 0.0042 0.2753 0.6510
Y2 0.7500 0.8831 0.1169
Er12 0.1854 0.0405 0.2238

Output
**Excess energy over the best structure of this formula in the dataset**: 0.806 kcal/mol of atoms

---

[15]
A plane-wave DFT calculation with PBE was carried out for an optimized crystal structure of NdY4Er2.

Cell: 9.5709 8.5776 8.5806 Å, 136.17 100.48 93.84°
Element x y z (fractional)
Y1 0.3142 0.0701 0.2844
Y2 0.4564 0.1873 0.7955
Nd1 0.0876 0.4087 0.3664
Er1 0.6261 0.4718 0.3464
Y3 0.9576 0.7374 0.8489
Y4 0.7917 0.0867 0.2285
Y5 0.9376 0.7210 0.2557
Nd2 0.1607 0.0287 0.8211
Y6 0.8035 0.0972 0.8109
Y7 0.2941 0.6402 0.2792
Er2 0.1244 0.3475 0.7227
Er3 0.6661 0.4089 0.7061
Er4 0.5853 0.7896 0.2429
Y8 0.4449 0.7548 0.7914

Output
**Excess energy over the best structure of this formula in the dataset**: 3.295 kcal/mol of atoms

---

[16]
A plane-wave DFT calculation with PBE was carried out for an optimized crystal structure of Nd3YEr.

Cell: 6.8321 6.8321 9.7405 Å, 69.47 69.47 60.00°
Element x y z (fractional)
Y1 0.8147 0.8147 0.5558
Y2 0.1853 0.1853 0.4442
Er1 0.3042 0.3042 0.0875
Er2 0.6958 0.6958 0.9125
Nd1 0.2210 0.2566 0.7780
Nd2 0.7444 0.2210 0.7780
Nd3 0.7434 0.2556 0.2220
Nd4 0.2556 0.7790 0.2220
Nd5 0.7790 0.7434 0.2220
Nd6 0.2566 0.7444 0.7780

Output
**Excess energy over the best structure of this formula in the dataset**: 4.637 kcal/mol of atoms

---

[17]
A plane-wave DFT calculation with PBE was carried out for an optimized crystal structure of Nd2Y4Er.

Cell: 6.8432 6.8432 6.8432 Å, 103.29 103.29 122.70°
Element x y z (fractional)
Y1 0.8010 0.1990 0.0000
Y2 0.1990 0.8010 0.0000
Y3 0.8010 0.8010 0.6020
Er1 0.5000 0.5000 0.0000
Nd1 0.2500 0.7500 0.5000
Y4 0.1990 0.1990 0.3980
Nd2 0.7500 0.2500 0.5000

Output
**Excess energy over the best structure of this formula in the dataset**: 4.965 kcal/mol of atoms

---

[18]
A plane-wave DFT calculation with PBE was carried out for an optimized crystal structure of Nd10Y4Er.

Cell: 7.8417 9.6175 9.6175 Å, 80.43 65.94 65.94°
Element x y z (fractional)
Y1 0.7995 0.6000 0.8009
Er1 0.0000 0.0000 0.0000
Nd1 0.2500 0.5000 0.5000
Nd2 0.9502 0.9001 0.7020
Nd3 0.8503 0.7020 0.0999
Nd4 0.5523 0.0999 0.2980
Y2 0.3996 0.8009 0.4000
Y3 0.2005 0.4000 0.1991
Nd5 0.6522 0.2980 0.9001
Nd6 0.3478 0.7020 0.0999
Nd7 0.0498 0.0999 0.2980
Y4 0.6004 0.1991 0.6000
Nd8 0.1497 0.2980 0.9001
Nd9 0.4477 0.9001 0.7020
Nd10 0.7500 0.5000 0.5000

---

[19]
A plane-wave DFT calculation with PBE was carried out for an optimized crystal structure of Nd2YEr.

Cell: 5.7931 12.6669 7.3643 Å, 90.00 90.00 90.00°
Element x y z (fractional)
Nd1 0.9430 0.4158 0.4996
Y1 0.4433 0.8315 0.7500
Nd2 0.9436 0.4158 0.0004
Er1 0.4432 0.3332 0.2500
Y2 0.9433 0.6685 0.2500
Nd3 0.4436 0.0842 0.5004
Nd4 0.9430 0.9158 0.0004
Er2 0.9432 0.1668 0.7500
Nd5 0.4436 0.5842 0.9996
Y3 0.9433 0.1685 0.2500
Er3 0.9432 0.6668 0.7500
Er4 0.4432 0.8332 0.2500
Y4 0.4433 0.3315 0.7500
Nd6 0.4430 0.0842 0.9996
Nd7 0.9436 0.9158 0.4996
Nd8 0.4430 0.5842 0.5004

Output
**Excess energy over the best structure of this formula in the dataset**: 0.220 kcal/mol of atoms

---

[20]
A plane-wave DFT calculation with PBE was carried out for an optimized crystal structure of NdY5Er6.

Cell: 11.7646 6.1466 6.1417 Å, 59.97 85.02 80.02°
Element x y z (fractional)
Er1 0.7489 0.4171 0.6668
Er2 0.2509 0.2497 0.0000
Y1 0.5000 0.8330 0.3340
Nd1 0.0000 0.0000 0.0000
Er3 0.2511 0.9161 0.6668
Er4 0.2511 0.5829 0.3332
Er5 0.7489 0.0839 0.3332
Y2 0.5000 0.1670 0.6660
Y3 0.0000 0.3333 0.3334
Y4 0.0000 0.6667 0.6666
Er6 0.7491 0.7503 0.0000
Y5 0.5000 0.5000 0.0000

---

[21]
A plane-wave DFT calculation with PBE was carried out for an optimized crystal structure of Nd12Y6Er.

Cell: 9.8778 9.8778 9.8778 Å, 111.09 111.09 111.09°
Element x y z (fractional)
Nd1 0.0030 0.7425 0.7425
Y1 0.2735 0.6483 0.6483
Er1 0.0000 0.0000 0.0000
Nd2 0.5000 0.8899 0.1101
Y2 0.6483 0.2735 0.6483
Nd3 0.1101 0.8899 0.5000
Nd4 0.7425 0.0030 0.7425
Nd5 0.2575 0.9970 0.2575
Nd6 0.1101 0.5000 0.8899
Nd7 0.5000 0.1101 0.8899
Y3 0.7265 0.3517 0.3517
Y4 0.3517 0.7265 0.3517
Nd8 0.2575 0.2575 0.9970
Y5 0.6483 0.6483 0.2735
Nd9 0.8899 0.5000 0.1101
Y6 0.3517 0.3517 0.7265
Nd10 0.8899 0.1101 0.5000
Nd11 0.9970 0.2575 0.2575
Nd12 0.7425 0.7425 0.0030

Output
**Excess energy over the best structure of this formula in the dataset**: 6.315 kcal/mol of atoms

---

no.,energy relative to the elements (kJ/mol of formula units),M_tot (μB/f.u.),volume (Å³/atom)
1,113,0.00,32.4
2,17,0.00,32.7
3,58,0.00,32.8
4,24,0.00,32.3
5,41,0.00,32.9
6,107,0.00,34.3
7,200,0.00,34.6
8,7,0.00,32.7
9,229,0.00,34.1
10,290,0.00,32.2
11,296,0.00,32.9
12,59,0.00,32.3
13,267,0.00,33.8
14,96,0.00,32.1
15,114,0.00,32.8
16,130,0.06,36.0
17,178,0.00,33.8
18,1029,0.00,40.3
19,8,0.00,33.8
20,28,0.00,31.6
21,745,0.00,36.5